1.
Here is crystalline La3TlH2 at its relaxed geometry from Alexandria via LeMat-Bulk. Energies are from PBE-GGA.

Cell: 5.477 7.520 7.520 Å, 105.68 90.00 90.00°
Sites, in units of the cell vectors:
La: 0.750 0.196 0.411
La: 0.250 0.411 0.196
H: 0.500 0.853 0.853
H: 0.000 0.147 0.147
Tl: 0.250 0.314 0.686
H: 0.000 0.853 0.853
Tl: 0.750 0.686 0.314
La: 0.750 0.589 0.804
La: 0.250 0.804 0.589
H: 0.500 0.147 0.147
La: 0.750 0.114 0.886
La: 0.250 0.886 0.114

Calculated values
- N(E_F) (states/eV/f.u.) = 5.3
- polymorph energy (0 for the lowest one) (eV/atom) = 0.0156

2.
Here is crystalline Ho2TcTe at its relaxed geometry from Alexandria via LeMat-Bulk. Energies are from PBE-GGA.

Cell: 3.682 3.682 6.915 Å, 90.00 90.00 90.00°
Sites, in units of the cell vectors:
Ho: 0.000 0.000 0.773
Tc: 0.500 0.500 0.000
Te: 0.500 0.500 0.500
Ho: 0.000 0.000 0.227

Calculated values
- N(E_F) (states/eV/f.u.) = 3.7
- polymorph energy (0 for the lowest one) (eV/atom) = 0.0000

3.
Here is crystalline Ba7Mg6 at its relaxed geometry from Alexandria via LeMat-Bulk. Energies are from PBE-GGA.

Cell: 12.122 12.122 12.122 Å, 37.56 37.56 37.56°
Sites, in units of the cell vectors:
Ba: 0.409 0.932 0.409
Ba: 0.409 0.409 0.932
Mg: 0.143 0.143 0.143
Ba: 0.932 0.409 0.409
Mg: 0.047 0.047 0.047
Mg: 0.857 0.857 0.857
Mg: 0.664 0.664 0.664
Mg: 0.953 0.953 0.953
Ba: 0.591 0.591 0.068
Mg: 0.336 0.336 0.336
Ba: 0.500 0.500 0.500
Ba: 0.591 0.068 0.591
Ba: 0.068 0.591 0.591

Calculated values
- N(E_F) (states/eV/f.u.) = 17.4
- ΔE_f (eV/atom) = 0.304

4.
Here is crystalline TlHO at its relaxed geometry from Alexandria via LeMat-Bulk. Energies are from PBE-GGA.

Cell: 4.283 4.283 25.687 Å, 90.28 90.28 89.91°
Sites, in units of the cell vectors:
Tl: 0.118 0.453 0.943
O: 0.440 0.950 0.963
H: 0.125 0.942 0.313
H: 0.040 0.376 0.059
H: 0.624 0.960 0.941
Tl: 0.049 0.860 0.196
O: 0.463 0.446 0.785
Tl: 0.566 0.378 0.690
O: 0.554 0.537 0.215
Tl: 0.547 0.882 0.057
H: 0.058 0.875 0.687
Tl: 0.126 0.441 0.443
Tl: 0.559 0.874 0.557
H: 0.051 0.371 0.560
O: 0.070 0.058 0.710
O: 0.050 0.560 0.037
O: 0.448 0.938 0.463
H: 0.647 0.458 0.807
O: 0.942 0.930 0.290
O: 0.062 0.552 0.537
H: 0.542 0.353 0.193
Tl: 0.140 0.951 0.804
H: 0.629 0.949 0.440
Tl: 0.622 0.434 0.310

Calculated values
- polymorph energy (0 for the lowest one) (eV/atom) = 0.0222

5.
Here is crystalline NdZrO3 at its relaxed geometry from Alexandria via LeMat-Bulk. Energies are from PBE-GGA.

Cell: 7.620 7.620 7.620 Å, 120.41 120.41 89.29°
Sites, in units of the cell vectors:
O: 0.718 0.718 0.000
O: 0.706 0.706 0.411
Zr: 0.623 0.369 0.254
O: 0.527 0.473 0.500
Nd: 0.109 0.867 0.242
O: 0.282 0.282 0.000
Nd: 0.625 0.867 0.758
Nd: 0.133 0.375 0.242
O: 0.527 0.027 0.054
Zr: 0.631 0.885 0.254
O: 0.294 0.706 0.000
O: 0.706 0.294 0.000
O: 0.973 0.473 0.946
Zr: 0.631 0.377 0.746
Zr: 0.115 0.369 0.746
Nd: 0.133 0.891 0.758
O: 0.250 0.750 0.500
O: 0.973 0.027 0.500
O: 0.294 0.294 0.589
O: 0.000 0.000 0.000

Calculated values
- N(E_F) (states/eV/f.u.) = 0.6
- total energy (eV/cell) = -175.661

6.
Here is crystalline ZrSnRh3 at its relaxed geometry from Alexandria via LeMat-Bulk. Energies are from PBE-GGA.

Cell: 4.760 4.760 4.760 Å, 90.00 90.00 90.00°
Sites, in units of the cell vectors:
Rh: 0.500 0.000 0.000
Rh: 0.000 0.000 0.500
Sn: 0.000 0.000 0.000
Rh: 0.000 0.500 0.000
Zr: 0.500 0.500 0.500

Calculated values
- N(E_F) (states/eV/f.u.) = 15.0
- polymorph energy (0 for the lowest one) (eV/atom) = 1.0904
- ΔE_f (eV/atom) = 0.639

7.
Here is crystalline Th2CdAg at its relaxed geometry from Alexandria via LeMat-Bulk. Energies are from PBE-GGA.

Cell: 3.404 3.404 9.196 Å, 90.00 90.00 90.00°
Sites, in units of the cell vectors:
Cd: 0.500 0.500 0.500
Th: 0.000 0.000 0.239
Ag: 0.500 0.500 0.000
Th: 0.000 0.000 0.761

Calculated values
- N(E_F) (states/eV/f.u.) = 4.3
- ΔE_f (eV/atom) = -0.067

8.
Here is crystalline La4TbPr2Er at its relaxed geometry from Alexandria via LeMat-Bulk. Energies are from PBE-GGA.

Cell: 5.259 5.220 11.537 Å, 63.02 90.00 90.00°
Sites, in units of the cell vectors:
Er: 0.500 0.500 0.000
Pr: 0.000 0.000 0.000
La: 0.000 0.249 0.250
Tb: 0.000 0.500 0.500
Pr: 0.500 0.000 0.500
La: 0.500 0.249 0.751
La: 0.000 0.751 0.750
La: 0.500 0.751 0.249

Calculated values
- N(E_F) (states/eV/f.u.) = 12.3
- ΔE_f (eV/atom) = 0.015

9.
Here is crystalline ThSbPd6 at its relaxed geometry from Alexandria via LeMat-Bulk. Energies are from PBE-GGA.

Cell: 4.167 4.167 8.170 Å, 90.00 90.00 90.00°
Sites, in units of the cell vectors:
Pd: 0.500 0.000 0.243
Pd: 0.500 0.000 0.757
Pd: 0.500 0.500 0.000
Pd: 0.500 0.500 0.500
Pd: 0.000 0.500 0.757
Th: 0.000 0.000 0.500
Pd: 0.000 0.500 0.243
Sb: 0.000 0.000 0.000

Calculated values
- N(E_F) (states/eV/f.u.) = 1.8
- polymorph energy (0 for the lowest one) (eV/atom) = 0.0000

10.
Here is crystalline BaPrAu10 at its relaxed geometry from Alexandria via LeMat-Bulk. Energies are from PBE-GGA.

Cell: 4.706 5.686 9.964 Å, 90.00 90.00 90.00°
Sites, in units of the cell vectors:
Au: 0.000 0.000 0.322
Au: 0.500 0.753 0.756
Au: 0.000 0.500 0.158
Au: 0.000 0.500 0.842
Au: 0.500 0.500 0.000
Au: 0.500 0.000 0.500
Pr: 0.000 0.000 0.000
Au: 0.500 0.247 0.756
Au: 0.500 0.753 0.244
Ba: 0.000 0.500 0.500
Au: 0.500 0.247 0.244
Au: 0.000 0.000 0.678

Calculated values
- N(E_F) (states/eV/f.u.) = 5.3
- ΔE_f (eV/atom) = -0.419

11.
Here is crystalline Nd2In3Pt4 at its relaxed geometry from Alexandria via LeMat-Bulk. Energies are from PBE-GGA.

Cell: 5.957 7.642 8.989 Å, 90.00 109.35 90.00°
Sites, in units of the cell vectors:
Nd: 0.898 0.409 0.796
Nd: 0.602 0.909 0.204
In: 0.515 0.750 0.530
Pt: 0.181 0.750 0.861
In: 0.485 0.250 0.470
Nd: 0.398 0.091 0.796
Pt: 0.334 0.473 0.667
Pt: 0.681 0.750 0.861
Pt: 0.319 0.250 0.139
In: 0.985 0.250 0.470
Pt: 0.166 0.973 0.333
Pt: 0.666 0.527 0.333
In: 0.015 0.750 0.530
In: 0.000 0.000 0.000
In: 0.500 0.500 0.000
Pt: 0.834 0.027 0.667
Pt: 0.819 0.250 0.139
Nd: 0.102 0.591 0.204

Calculated values
- N(E_F) (states/eV/f.u.) = 5.3
- ΔE_f (eV/atom) = -0.805